VASP calculation (PBE-GGA) on crystalline BaCaPb3 at its relaxed geometry.

Lattice parameters (Å, degrees): 5.884 5.884 5.884 90.00 90.00 90.00
Atoms (fractional coordinates):
Ba  0.000  0.000  0.000
Ca  0.500  0.500  0.500
Pb  0.000  0.500  0.500
Pb  0.500  0.000  0.500
Pb  0.500  0.500  0.000

Values from the calculation:
ΔE to the lowest computed polymorph = 413 meV/atom
Total energy = -3.036 eV per atom
Size of the total moment = 0.00 μB per cell
Formation energy = -27 meV per atom